# 1
Compound: Tb12NdSm2
Source: the Alexandria database
Functional: PBE
Structure: optimized geometry

Cell: 6.4373 6.4373 25.1123 Å, 90.00 90.00 90.00°
Sites, in units of the cell vectors:
1 Tb 0.5000 0.5000 0.6601
2 Tb 0.6846 0.8154 0.8828
3 Tb 0.3154 0.1846 0.8828
4 Tb 0.0000 0.0000 0.7835
5 Tb 0.0000 0.0000 0.2165
6 Tb 0.3154 0.8154 0.1172
7 Tb 0.6683 0.1683 0.4391
8 Tb 0.6683 0.8317 0.5609
9 Tb 0.3317 0.8317 0.4391
10 Tb 0.8317 0.6683 0.4391
11 Tb 0.1683 0.6683 0.5609
12 Tb 0.1683 0.3317 0.4391
13 Tb 0.3317 0.1683 0.5609
14 Tb 0.0000 0.0000 0.3399
15 Tb 0.8317 0.3317 0.5609
16 Tb 0.5000 0.5000 0.3399
17 Tb 0.8154 0.6846 0.1172
18 Tb 0.0000 0.0000 0.6601
19 Tb 0.6846 0.1846 0.1172
20 Tb 0.8154 0.3154 0.8828
21 Tb 0.5000 0.5000 0.7835
22 Tb 0.5000 0.5000 0.2165
23 Tb 0.1846 0.3154 0.1172
24 Tb 0.1846 0.6846 0.8828
25 Sm 0.5000 0.0000 0.2728
26 Sm 0.0000 0.5000 0.7272
27 Sm 0.0000 0.5000 0.2728
28 Sm 0.5000 0.0000 0.7272
29 Nd 0.5000 0.0000 0.0000
30 Nd 0.0000 0.5000 0.0000

Electronic total energy   -4.337 eV/atom
Space-group type   P4/nbm

# 2
Compound: Tb3Nd12Sm
Source: the Alexandria database
Functional: PBE
Structure: optimized geometry

Cell: 5.1695 5.1695 20.6378 Å, 90.00 90.00 90.00°
Sites, in units of the cell vectors:
1 Nd 0.5000 0.5000 0.5000
2 Nd 0.5000 0.0000 0.3753
3 Nd 0.0000 0.5000 0.1259
4 Nd 0.5000 0.5000 0.2509
5 Nd 0.5000 0.0000 0.6247
6 Nd 0.0000 0.5000 0.8741
7 Nd 0.5000 0.5000 0.7491
8 Nd 0.0000 0.5000 0.6247
9 Nd 0.5000 0.0000 0.8741
10 Nd 0.5000 0.0000 0.1259
11 Nd 0.5000 0.5000 0.0000
12 Nd 0.0000 0.5000 0.3753
13 Tb 0.0000 0.0000 0.7493
14 Tb 0.0000 0.0000 0.5000
15 Tb 0.0000 0.0000 0.2507
16 Sm 0.0000 0.0000 0.0000

Electronic total energy   -4.726 eV/atom
Space-group type   P4/mmm

# 3
Compound: TbNd5Sm
Source: the Alexandria database
Functional: PBE
Structure: optimized geometry

Cell: 6.2990 8.0662 7.8424 Å, 120.95 113.68 90.00°
Sites, in units of the cell vectors:
1 Nd 0.1655 0.5000 0.0000
2 Nd 0.4333 0.1795 0.0000
3 Nd 0.1852 0.2512 0.5025
4 Nd 0.4333 0.8205 0.0000
5 Nd 0.6827 0.7488 0.4975
6 Tb 0.9326 0.0000 0.0000
7 Sm 0.6980 0.5000 0.0000

Electronic total energy   -3.890 eV/atom
Space-group type   Imm2
Energy relative to the lowest polymorph listed for this composition   0.00 kcal/mol of atoms

# 4
Compound: Tb5Nd2Sm3
Source: the Alexandria database
Functional: PBE
Structure: optimized geometry

Cell: 9.3970 9.3997 9.7612 Å, 108.21 108.20 110.55°
Sites, in units of the cell vectors:
1 Sm 0.2701 0.0201 0.0401
2 Sm 0.7689 0.2205 0.7523
3 Sm 0.4834 0.5317 0.7523
4 Sm 0.7299 0.9799 0.9599
5 Sm 0.2311 0.7795 0.2477
6 Sm 0.5166 0.4683 0.2477
7 Tb 0.0277 0.2777 0.5555
8 Tb 0.7758 0.5258 0.0516
9 Tb 0.9723 0.7223 0.4445
10 Tb 0.5216 0.7716 0.5433
11 Tb 0.4784 0.2284 0.4567
12 Tb 0.6387 0.8614 0.2542
13 Tb 0.2242 0.4742 0.9484
14 Tb 0.1155 0.3927 0.2542
15 Tb 0.8845 0.6073 0.7458
16 Tb 0.3613 0.1386 0.7458
17 Nd 0.7253 0.2699 0.2575
18 Nd 0.0322 0.9876 0.2575
19 Nd 0.2747 0.7301 0.7425
20 Nd 0.9678 0.0124 0.7425

Electronic total energy   -4.499 eV/atom
Space-group type   C2/c
Energy relative to the lowest polymorph listed for this composition   2.92 kcal/mol of atoms

# 5
Compound: Tb8Nd4Sm3
Source: the Alexandria database
Functional: PBE
Structure: optimized geometry

Cell: 7.0168 7.0168 12.6072 Å, 73.84 73.84 60.00°
Sites, in units of the cell vectors:
1 Sm 0.5000 0.0000 0.5000
2 Sm 0.0000 0.5000 0.5000
3 Sm 0.0000 0.0000 0.5000
4 Nd 0.6636 0.6636 0.0091
5 Nd 0.5000 0.5000 0.5000
6 Nd 0.0000 0.0000 0.0000
7 Nd 0.3364 0.3364 0.9909
8 Tb 0.7544 0.7544 0.7368
9 Tb 0.7519 0.2499 0.7484
10 Tb 0.2481 0.7501 0.2516
11 Tb 0.7501 0.7501 0.2516
12 Tb 0.2499 0.7519 0.7484
13 Tb 0.2499 0.2499 0.7484
14 Tb 0.7501 0.2481 0.2516
15 Tb 0.2456 0.2456 0.2632

Electronic total energy   -4.560 eV/atom
Space-group type   R-3m
Energy relative to the lowest polymorph listed for this composition   0.00 kcal/mol of atoms

# 6
Compound: TbNd3Sm2
Source: the Alexandria database
Functional: PBE
Structure: optimized geometry

Cell: 11.3078 8.9644 8.9644 Å, 45.76 50.90 50.90°
Sites, in units of the cell vectors:
1 Nd 0.5000 0.2500 0.7500
2 Nd 0.2348 0.0152 0.5152
3 Nd 0.7652 0.9848 0.4848
4 Nd 0.7652 0.4848 0.9848
5 Nd 0.5000 0.7500 0.2500
6 Nd 0.2348 0.5152 0.0152
7 Sm 0.4534 0.8021 0.8021
8 Sm 0.9424 0.3021 0.3021
9 Sm 0.5466 0.1979 0.1979
10 Sm 0.0576 0.6979 0.6979
11 Tb 0.0000 0.0000 0.0000
12 Tb 0.0000 0.5000 0.5000

Electronic total energy   -4.172 eV/atom
Space-group type   Ibam
Energy relative to the lowest polymorph listed for this composition   11.62 kcal/mol of atoms

Question: Among the records above, which one has the highest electronic total energy?
Answer: TbNd5Sm

Question: Which value of electronic total energy does entry 1 give?
Answer: -4.337 eV/atom